Tb5Pr2YSc: relaxed, PBE.

* volume: 291.0 Å³/f.u.
* energy relative to the elements: 0.27 eV per atom
* SG: No. 140
* energy: -4.78 eV/atom
* size of the total moment: 0.00 μB per cell

a = 8.523 Å, b = 8.523 Å, c = 10.025 Å
α = 115.16°, β = 115.16°, γ = 90.00°
Fractional positions:
Tb  0.932  0.432  0.288
Tb  0.644  0.144  0.712
Tb  0.068  0.568  0.712
Tb  0.144  0.068  0.712
Tb  0.568  0.644  0.712
Tb  0.856  0.932  0.288
Tb  0.432  0.356  0.288
Tb  0.356  0.856  0.288
Tb  0.500  0.500  0.000
Tb  0.000  0.000  0.000
Pr  0.121  0.379  0.000
Pr  0.621  0.121  0.000
Pr  0.379  0.879  0.000
Pr  0.879  0.621  0.000
Y  0.250  0.250  0.500
Y  0.750  0.750  0.500
Sc  0.250  0.750  0.500
Sc  0.750  0.250  0.500